Compound: BaSm2Hg3
Source: Alexandria via LeMat-Bulk
Functional: GGA-PBE
Structure: relaxed

Structure (CIF):
```
data_BaSm2Hg3
_cell_length_a 3.8832
_cell_length_b 3.8832
_cell_length_c 11.9834
_cell_angle_alpha 90.00
_cell_angle_beta 90.00
_cell_angle_gamma 90.00
_space_group_name_H-M_alt 'P 4/m m m'
_space_group_IT_number 123
_space_group_name_Hall '-P 4 2'
loop_
_atom_site_label
_atom_site_type_symbol
_atom_site_fract_x
_atom_site_fract_y
_atom_site_fract_z
Ba1 Ba 0.0000 0.0000 0.0000
Sm1 Sm 0.0000 0.0000 0.3439
Hg1 Hg 0.5000 0.5000 0.1994
Hg2 Hg 0.5000 0.5000 0.5000
```

calculated formation energy: -0.476 eV/atom



Compound: YInHg2
Source: Alexandria via LeMat-Bulk
Functional: GGA-PBE
Structure: relaxed

Structure (CIF):
```
data_YInHg2
_cell_length_a 3.7488
_cell_length_b 3.7488
_cell_length_c 7.1736
_cell_angle_alpha 90.00
_cell_angle_beta 90.00
_cell_angle_gamma 90.00
_space_group_name_H-M_alt 'P 4 m m'
_space_group_IT_number 99
_space_group_name_Hall 'P 4 -2'
loop_
_atom_site_label
_atom_site_type_symbol
_atom_site_fract_x
_atom_site_fract_y
_atom_site_fract_z
Y1 Y 0.0000 0.0000 0.0000
In1 In 0.5000 0.5000 0.7240
Hg1 Hg 0.0000 0.0000 0.4881
Hg2 Hg 0.5000 0.5000 0.2473
```

calculated formation energy: -0.233 eV/atom



Compound: Nd8Te4AsPt3
Source: Alexandria via LeMat-Bulk
Functional: GGA-PBE
Structure: relaxed

Structure (CIF):
```
data_Nd8Te4AsPt3
_cell_length_a 8.6021
_cell_length_b 8.6021
_cell_length_c 22.4437
_cell_angle_alpha 90.00
_cell_angle_beta 90.00
_cell_angle_gamma 120.00
_space_group_name_H-M_alt 'R -3 m'
_space_group_IT_number 166
_space_group_name_Hall '-R 3 2"'
loop_
_atom_site_label
_atom_site_type_symbol
_atom_site_fract_x
_atom_site_fract_y
_atom_site_fract_z
Nd1 Nd 0.0000 0.0000 0.2375
Nd2 Nd 0.0042 0.5021 0.7600
Te1 Te 0.0000 0.0000 0.0000
Te2 Te 0.0000 0.5000 0.0000
As1 As 0.0000 0.0000 0.5000
Pt1 Pt 0.0000 0.5000 0.5000
```

raw formation energy: -1.2972 eV/atom



Compound: Sm4Ho4Er3
Source: Alexandria via LeMat-Bulk
Functional: GGA-PBE
Structure: relaxed

Structure (CIF):
```
data_Sm4Ho4Er3
_cell_length_a 3.5842
_cell_length_b 9.3207
_cell_length_c 21.6248
_cell_angle_alpha 90.00
_cell_angle_beta 90.00
_cell_angle_gamma 90.00
_space_group_name_H-M_alt 'I m m m'
_space_group_IT_number 71
_space_group_name_Hall '-I 2 2'
loop_
_atom_site_label
_atom_site_type_symbol
_atom_site_fract_x
_atom_site_fract_y
_atom_site_fract_z
Sm1 Sm 0.0000 0.1793 0.1439
Ho1 Ho 0.0000 0.3172 0.0000
Ho2 Ho 0.0000 0.5000 0.2406
Er1 Er 0.0000 0.0000 0.3922
Er2 Er 0.0000 0.5000 0.5000
```

E above lowest polymorph: 60 meV/atom
calculated formation energy: 0.123 eV/atom



Compound: Mg2Si
Source: Alexandria via LeMat-Bulk
Functional: GGA-PBE
Structure: relaxed

Structure (CIF):
```
data_Mg2Si
_cell_length_a 4.1708
_cell_length_b 4.1708
_cell_length_c 6.9430
_cell_angle_alpha 90.00
_cell_angle_beta 90.00
_cell_angle_gamma 90.00
_space_group_name_H-M_alt 'P 4/n m m'
_space_group_IT_number 129
loop_
_space_group_symop_operation_xyz
'x,y,z'
'-x,-y,-z'
'-y+1/2,x,z'
'y+1/2,-x,-z'
'-x+1/2,-y+1/2,z'
'x+1/2,y+1/2,-z'
'y,-x+1/2,z'
'-y,x+1/2,-z'
'x+1/2,-y,-z'
'-x+1/2,y,z'
'-y,-x,-z'
'y,x,z'
'-x,y+1/2,-z'
'x,-y+1/2,z'
'y+1/2,x+1/2,-z'
'-y+1/2,-x+1/2,z'
loop_
_atom_site_label
_atom_site_type_symbol
_atom_site_fract_x
_atom_site_fract_y
_atom_site_fract_z
Mg1 Mg 0.2500 0.2500 0.1415
Mg2 Mg 0.2500 0.7500 0.5000
Si1 Si 0.2500 0.2500 0.7549
```

raw formation energy: -0.0676 eV/atom



Compound: NaCoOs
Source: Alexandria via LeMat-Bulk
Functional: GGA-PBE
Structure: relaxed

Structure (CIF):
```
data_NaCoOs
_cell_length_a 11.4058
_cell_length_b 2.6231
_cell_length_c 7.3213
_cell_angle_alpha 90.00
_cell_angle_beta 112.79
_cell_angle_gamma 90.00
_space_group_name_H-M_alt 'C 1 2/m 1'
_space_group_IT_number 12
_space_group_name_Hall '-C 2y'
loop_
_atom_site_label
_atom_site_type_symbol
_atom_site_fract_x
_atom_site_fract_y
_atom_site_fract_z
Na1 Na 0.1507 0.0000 0.0987
Co1 Co 0.0420 0.5000 0.6801
Os1 Os 0.1498 0.0000 0.5055
```

E above lowest polymorph: 0 meV/atom
calculated formation energy: 0.433 eV/atom



Compound: Ag3Hg2Au8
Source: Alexandria via LeMat-Bulk
Functional: GGA-PBE
Structure: relaxed

Structure (CIF):
```
data_Ag3Hg2Au8
_cell_length_a 13.5873
_cell_length_b 7.4763
_cell_length_c 5.0907
_cell_angle_alpha 90.00
_cell_angle_beta 90.75
_cell_angle_gamma 90.00
_space_group_name_H-M_alt 'C 1 2/m 1'
_space_group_IT_number 12
_space_group_name_Hall '-C 2y'
loop_
_atom_site_label
_atom_site_type_symbol
_atom_site_fract_x
_atom_site_fract_y
_atom_site_fract_z
Ag1 Ag 0.0000 0.0000 0.0000
Ag2 Ag 0.0000 0.1863 0.5000
Hg1 Hg 0.1497 0.5000 0.7287
Au1 Au 0.0590 0.5000 0.2311
Au2 Au 0.1728 0.1950 0.1713
Au3 Au 0.1869 0.0000 0.6716
```

E above lowest polymorph: 0 meV/atom
calculated formation energy: 0.083 eV/atom



Compound: SiTeAu2
Source: Alexandria via LeMat-Bulk
Functional: GGA-PBE
Structure: relaxed

Structure (CIF):
```
data_SiTeAu2
_cell_length_a 6.9190
_cell_length_b 6.9190
_cell_length_c 6.9190
_cell_angle_alpha 90.00
_cell_angle_beta 90.00
_cell_angle_gamma 90.00
_space_group_name_H-M_alt 'F -4 3 m'
_space_group_IT_number 216
_space_group_name_Hall 'F -4 2 3'
loop_
_atom_site_label
_atom_site_type_symbol
_atom_site_fract_x
_atom_site_fract_y
_atom_site_fract_z
Si1 Si 0.0000 0.0000 0.0000
Te1 Te 0.2500 0.2500 0.2500
Au1 Au 0.0000 0.0000 0.5000
Au2 Au 0.2500 0.2500 0.7500
```

E above lowest polymorph: 354 meV/atom
raw formation energy: 0.4106 eV/atom



Compound: InHg2OsW
Source: Alexandria via LeMat-Bulk
Functional: GGA-PBE
Structure: relaxed

Structure (CIF):
```
data_InHg2OsW
_cell_length_a 5.2051
_cell_length_b 5.2051
_cell_length_c 5.0875
_cell_angle_alpha 90.00
_cell_angle_beta 90.00
_cell_angle_gamma 90.00
_space_group_name_H-M_alt 'P 4/m m m'
_space_group_IT_number 123
_space_group_name_Hall '-P 4 2'
loop_
_atom_site_label
_atom_site_type_symbol
_atom_site_fract_x
_atom_site_fract_y
_atom_site_fract_z
In1 In 0.0000 0.0000 0.0000
Hg1 Hg 0.0000 0.5000 0.5000
Os1 Os 0.0000 0.0000 0.5000
W1 W 0.5000 0.5000 0.0000
```

calculated formation energy: 1.773 eV/atom



Compound: Li12Sb3H5
Source: Alexandria via LeMat-Bulk
Functional: GGA-PBE
Structure: relaxed

Structure (CIF):
```
data_Li12Sb3H5
_cell_length_a 13.5217
_cell_length_b 13.5217
_cell_length_c 13.5217
_cell_angle_alpha 90.00
_cell_angle_beta 90.00
_cell_angle_gamma 90.00
_space_group_name_H-M_alt 'I a -3 d'
_space_group_IT_number 230
_space_group_name_Hall '-I 4bd 2c 3'
loop_
_atom_site_label
_atom_site_type_symbol
_atom_site_fract_x
_atom_site_fract_y
_atom_site_fract_z
Li1 Li 0.0403 0.0472 0.6489
Sb1 Sb 0.0000 0.2500 0.1250
H1 H 0.0000 0.0000 0.0000
H2 H 0.0000 0.2500 0.3750
```

total energy: -2.96 eV/atom